The following is a PBE-GGA calculation of a geometry-optimized Sm6Y2Cd structure, from the Alexandria database.

Unit cell a=10.709 b=10.709 c=5.018 alpha=90.00 beta=90.00 gamma=90.00
Positions (direct):
Sm1 0.003 0.333 0.000
Sm2 0.166 0.166 0.500
Sm3 0.167 0.503 0.500
Sm4 0.333 0.003 0.000
Sm5 0.334 0.666 0.000
Sm6 0.497 0.833 0.500
Sm7 0.503 0.167 0.500
Sm8 0.666 0.334 0.000
Sm9 0.667 0.997 0.000
Sm10 0.833 0.497 0.500
Sm11 0.834 0.834 0.500
Sm12 0.997 0.667 0.000
Y1 0.161 0.839 0.500
Y2 0.339 0.339 0.000
Y3 0.661 0.661 0.000
Y4 0.839 0.161 0.500
Cd1 0.000 0.000 0.000
Cd2 0.500 0.500 0.500

Computed properties:
- theoretical density (g cm⁻³) = 6.9
- formation enthalpy at 0 K (eV per atom) = -0.01
- total energy (eV per cell) = -84.568